# ZnTc3Cl PBE-GGA optimized geometry
data_ZnTc3Cl
_space_group_name_H-M_alt 'P m -3 m'
_space_group_IT_number 221
_space_group_name_Hall '-P 4 2 3'
_cell_length_a 4.344
_cell_length_b 4.344
_cell_length_c 4.344
_cell_angle_alpha 90.00
_cell_angle_beta 90.00
_cell_angle_gamma 90.00
loop_
_atom_site_label
_atom_site_type_symbol
_atom_site_fract_x
_atom_site_fract_y
_atom_site_fract_z
Zn1 Zn 0.000 0.000 0.000
Tc1 Tc 0.000 0.500 0.500
Cl1 Cl 0.500 0.500 0.500
# * formation energy without anion corrections: 1.0573 eV/atom
# * relative energy among the computed polymorphs: 0 meV/atom
# * D(E_F): 0.80 states/eV/atom
# * E: -0.213 hartree per atom